Computed, not measured: Dy3Er2In2 after structural relaxation at the PBE level of DFT.

Properties
Formation energy from the elements (eV/atom): -0.1115

Lattice parameters (Å, degrees): 16.684 3.460 7.888 90.00 117.99 90.00
Space group C2/m (No. 12)
Inequivalent atoms, fractional coordinates:
Dy  0.000  0.000  0.000 x2
Dy  0.210  0.000  0.124 x4
Er  0.138  0.000  0.471 x4
In  0.065  0.500  0.730 x4

---

Computed, not measured: Sm2Si2Tc2H after structural relaxation at the PBE level of DFT.

Lattice parameters (Å, degrees): 4.115 4.115 14.545 90.00 90.00 90.00
Space group I4/mmm (No. 139)
Inequivalent atoms, fractional coordinates:
Sm  0.000  0.000  0.162 x4
Si  0.000  0.000  0.396 x4
Tc  0.000  0.500  0.000 x4
H  0.000  0.000  0.000 x2

---

Computed, not measured: TmSc2Tl2Cd2 after structural relaxation at the PBE level of DFT.

Properties
Formation energy from the elements (eV/atom): -0.1111

Lattice parameters (Å, degrees): 4.8838 4.8838 24.9315 90.00 90.00 120.00
Space group R-3m (No. 166, hexagonal axes)
Inequivalent atoms, fractional coordinates:
Tm  0.0000  0.0000  0.0000 x3
Sc  0.0000  0.0000  0.1371 x6
Tl  0.0000  0.0000  0.2693 x6
Cd  0.0000  0.0000  0.4380 x6

---

Computed, not measured: Dy7Sn2Au2 after structural relaxation at the PBE level of DFT.

Properties
Formation energy from the elements (eV/atom): -0.3899

Lattice parameters (Å, degrees): 8.367 11.184 7.043 90.00 90.00 90.00
Space group Cmmm (No. 65)
Inequivalent atoms, fractional coordinates:
Dy  0.000  0.000  0.000 x2
Dy  0.000  0.500  0.247 x4
Dy  0.250  0.250  0.263 x8
Sn  0.179  0.000  0.500 x4
Au  0.000  0.287  0.000 x4

---

Computed, not measured: Y2ScInO6 after structural relaxation at the PBE level of DFT.

Properties
Formation energy from raw total energies (eV/atom): -2.803

Lattice parameters (Å, degrees): 5.344 5.344 5.246 90.00 90.00 90.00
Space group P4mm (No. 99)
Inequivalent atoms, fractional coordinates:
Y  0.000  0.500  0.000 x2
Sc  0.000  0.000  0.599 x1
In  0.500  0.500  0.584 x1
O  0.000  0.000  0.221 x1
O  0.247  0.247  0.763 x4
O  0.500  0.500  0.194 x1

---

Computed, not measured: Hf3ScMn after structural relaxation at the PBE level of DFT.

Properties
Formation energy from the elements (eV/atom): 0.3012

Lattice parameters (Å, degrees): 4.836 4.836 4.836 90.00 90.00 90.00
Space group Pm-3m (No. 221)
Inequivalent atoms, fractional coordinates:
Hf  0.000  0.000  0.500 x3
Sc  0.500  0.500  0.500 x1
Mn  0.000  0.000  0.000 x1

---

Computed, not measured: KZr2Os after structural relaxation at the PBE level of DFT.

Properties
Formation energy from the elements (eV/atom): 0.3981

Lattice parameters (Å, degrees): 3.329 4.356 17.029 90.00 90.00 90.00
Space group Imm2 (No. 44)
Inequivalent atoms, fractional coordinates:
K  0.000  0.000  0.000 x2
Zr  0.000  0.000  0.313 x2
Zr  0.000  0.500  0.181 x2
Os  0.000  0.500  0.696 x2

---

Computed, not measured: Sc2AsSe after structural relaxation at the PBE level of DFT.

Properties
Formation energy from raw total energies (eV/atom): -1.542

Lattice parameters (Å, degrees): 3.874 5.479 7.784 90.00 90.00 90.00
Space group Pmmn (No. 59, origin choice 2)
Inequivalent atoms, fractional coordinates:
Sc  0.250  0.250  0.116 x2
Sc  0.250  0.250  0.639 x2
As  0.250  0.750  0.125 x2
Se  0.250  0.750  0.621 x2

---

Computed, not measured: Tb4Te2AsSe after structural relaxation at the PBE level of DFT.

Properties
Formation energy from raw total energies (eV/atom): -1.544

Lattice parameters (Å, degrees): 7.274 4.210 7.501 90.00 108.92 90.00
Space group P2/m (No. 10)
Inequivalent atoms, fractional coordinates:
Tb  0.234  0.000  0.216 x2
Tb  0.257  0.500  0.784 x2
Te  0.000  0.000  0.500 x1
Te  0.500  0.500  0.500 x1
As  0.000  0.500  0.000 x1
Se  0.500  0.000  0.000 x1

---

Computed, not measured: ThMoH after structural relaxation at the PBE level of DFT.

Lattice parameters (Å, degrees): 3.282 3.282 9.183 90.00 90.00 90.00
Space group P4/nmm (No. 129, origin choice 2)
Inequivalent atoms, fractional coordinates:
Th  0.250  0.250  0.184 x2
Mo  0.250  0.250  0.571 x2
H  0.250  0.250  0.925 x2

---

Computed, not measured: TbErMnTl after structural relaxation at the PBE level of DFT.

Properties
Formation energy from the elements (eV/atom): -0.0162

Lattice parameters (Å, degrees): 7.362 7.362 7.362 90.00 90.00 90.00
Space group F-43m (No. 216)
Inequivalent atoms, fractional coordinates:
Tb  0.000  0.000  0.000 x4
Er  0.000  0.000  0.500 x4
Mn  0.250  0.250  0.250 x4
Tl  0.250  0.250  0.750 x4

---

Computed, not measured: InNi3Bi after structural relaxation at the PBE level of DFT.

Properties
Formation energy from the elements (eV/atom): 0.8411

Lattice parameters (Å, degrees): 4.688 4.688 4.688 90.00 90.00 90.00
Space group Pm-3m (No. 221)
Inequivalent atoms, fractional coordinates:
In  0.000  0.000  0.000 x1
Ni  0.000  0.000  0.500 x3
Bi  0.500  0.500  0.500 x1

---

Computed, not measured: CaZnTeN2 after structural relaxation at the PBE level of DFT.

Properties
Formation energy from raw total energies (eV/atom): 1.207

Lattice parameters (Å, degrees): 4.534 4.534 6.491 90.00 90.00 90.00
Space group P4/mmm (No. 123)
Inequivalent atoms, fractional coordinates:
Ca  0.000  0.000  0.000 x1
Zn  0.500  0.500  0.500 x1
Te  0.000  0.000  0.500 x1
N  0.000  0.500  0.000 x2

---

Computed, not measured: LaGaHg2 after structural relaxation at the PBE level of DFT.

Properties
Formation energy from the elements (eV/atom): -0.2188

Lattice parameters (Å, degrees): 4.788 4.788 21.054 90.00 90.00 90.00
Space group I-42d (No. 122)
Inequivalent atoms, fractional coordinates:
La  0.000  0.000  0.000 x4
Ga  0.000  0.000  0.500 x4
Hg  0.197  0.250  0.625 x8

---

Computed, not measured: PPbSe2 after structural relaxation at the PBE level of DFT.

Properties
Formation energy from raw total energies (eV/atom): 0.334

Lattice parameters (Å, degrees): 3.917 3.985 6.424 90.00 90.00 90.00
Space group Pmmm (No. 47)
Inequivalent atoms, fractional coordinates:
P  0.000  0.000  0.000 x1
Pb  0.000  0.500  0.500 x1
Se  0.500  0.000  0.500 x1
Se  0.500  0.500  0.000 x1

---

Computed, not measured: Fe2HgSbAs after structural relaxation at the PBE level of DFT.

Properties
Formation energy from raw total energies (eV/atom): 1.313

Lattice parameters (Å, degrees): 4.919 4.919 5.136 90.00 90.00 90.00
Space group P4/mmm (No. 123)
Inequivalent atoms, fractional coordinates:
Fe  0.000  0.500  0.000 x2
Hg  0.000  0.000  0.000 x1
Sb  0.500  0.500  0.500 x1
As  0.000  0.000  0.500 x1

---

Computed, not measured: Sc2TaSb after structural relaxation at the PBE level of DFT.

Properties
Formation energy from raw total energies (eV/atom): -0.090

Lattice parameters (Å, degrees): 3.2366 3.2366 29.1357 90.00 90.00 120.00
Space group R-3m (No. 166, hexagonal axes)
Inequivalent atoms, fractional coordinates:
Sc  0.0000  0.0000  0.2473 x6
Ta  0.0000  0.0000  0.5000 x3
Sb  0.0000  0.0000  0.0000 x3

---

Computed, not measured: NbNi2Se after structural relaxation at the PBE level of DFT.

Properties
Formation energy from raw total energies (eV/atom): -0.033

Lattice parameters (Å, degrees): 6.803 6.803 5.130 90.00 90.00 90.00
Space group I-42d (No. 122)
Inequivalent atoms, fractional coordinates:
Nb  0.000  0.000  0.000 x4
Ni  0.222  0.750  0.625 x8
Se  0.000  0.000  0.500 x4

---

Computed, not measured: Cs6CaS4 after structural relaxation at the PBE level of DFT.

Properties
Formation energy from raw total energies (eV/atom): -1.223

Lattice parameters (Å, degrees): 11.0674 11.0674 8.5768 90.00 90.00 120.00
Space group P6_3mc (No. 186)
Inequivalent atoms, fractional coordinates:
Cs  0.0669  0.5335  0.0000 x6
Cs  0.1446  0.2892  0.3226 x6
Ca  0.3333  0.6667  0.6076 x2
S  0.1965  0.3930  0.7094 x6
S  0.3333  0.6667  0.2883 x2

---

Computed, not measured: SrCa2Cd2 after structural relaxation at the PBE level of DFT.

Properties
Formation energy from the elements (eV/atom): -0.2562

Lattice parameters (Å, degrees): 3.892 5.762 14.889 90.00 97.59 90.00
Space group P2_1/m (No. 11)
Inequivalent atoms, fractional coordinates:
Sr  0.142  0.250  0.283 x2
Ca  0.047  0.750  0.093 x2
Ca  0.229  0.750  0.457 x2
Cd  0.361  0.250  0.722 x2
Cd  0.456  0.750  0.911 x2

---

VASP energy, record by record: -4.1699; -6.9211; -3.4965; -4.6422; -7.9775; -8.7711; -6.9578; -6.7414; -5.6617; -7.2722; -5.1985; -3.9516; -3.4061; -2.3582; -3.6881; -3.8870; -7.2496; -6.3126; -3.3717; -1.7592 eV per atom